1.
RbYTeO6: relaxed, PBE.

a = 5.9407 Å, b = 5.9407 Å, c = 5.8005 Å
α = 91.21°, β = 91.21°, γ = 118.92°
Closest atoms and distances in Å follow each position.
Atoms (fractional coordinates):
Rb 0.0000 0.0000 0.0000  6 O 2.90-3.12
Y 0.3429 0.6571 0.5000  6 O 2.24-2.32
Te 0.6564 0.3436 0.5000  6 O 1.92-1.97
O 0.4187 0.3781 0.2952  1 Te 1.92
O 0.4322 0.0469 0.6768  1 Te 1.95
O 0.6088 0.0313 0.3318  1 Te 1.97
O 0.6219 0.5813 0.7048  1 Te 1.92
O 0.9531 0.5678 0.3232  1 Te 1.95
O 0.9687 0.3912 0.6682  1 Te 1.97

## Properties
uncorrected energy: -6.019 eV/atom
formation energy (no corrections): -1.538 eV per atom
space-group type: C2, No. 5
crystal system: monoclinic

2.
Ba2TlAs3Pt4: relaxed, PBE.

a = 4.6551 Å, b = 4.6551 Å, c = 10.4576 Å
α = 90.00°, β = 90.00°, γ = 90.00°
Closest atoms and distances in Å follow each position.
Atoms (fractional coordinates):
Ba 0.0000 0.5000 0.2437  8 Pt 3.45-3.50, 2 Tl 3.55, 7 As 3.55-3.75
Ba 0.5000 0.0000 0.7563  8 Pt 3.45-3.50, 2 Tl 3.55, 7 As 3.55-3.75
Tl 0.0000 0.0000 0.5000  4 Pt 2.77
As 0.0000 0.5000 0.8848  5 Pt 2.52-2.62
As 0.5000 0.0000 0.1152  5 Pt 2.52-2.62
As 0.5000 0.5000 0.5000  4 Pt 2.77
Pt 0.0000 0.0000 0.0000  4 As 2.62
Pt 0.0000 0.5000 0.6434  3 As 2.52-2.77, 2 Tl 2.77
Pt 0.5000 0.0000 0.3566  3 As 2.52-2.77, 2 Tl 2.77
Pt 0.5000 0.5000 0.0000  4 As 2.62

## Properties
uncorrected energy: -5.077 eV/atom
space-group type: P-4m2, No. 115
crystal system: tetragonal

3.
Zn2Cd2F7: relaxed, PBE.

a = 5.2934 Å, b = 5.2934 Å, c = 5.3207 Å
α = 92.25°, β = 92.25°, γ = 79.62°
Closest atoms and distances in Å follow each position.
Atoms (fractional coordinates):
Zn 0.2454 0.2454 0.4827  4 F 1.98-2.07
Zn 0.7546 0.7546 0.5173  4 F 1.98-2.07
Cd 0.2747 0.7253 0.0000  6 F 2.32-2.50
Cd 0.7253 0.2747 0.0000  6 F 2.32-2.50
F 0.0112 0.4546 0.7444  2 Zn 2.05-2.25
F 0.0453 0.0453 0.2530  1 Zn 1.98
F 0.4546 0.0112 0.7444  2 Zn 2.05-2.25
F 0.5000 0.5000 0.5000  2 Zn 2.07
F 0.5454 0.9888 0.2556  2 Zn 2.05-2.25
F 0.9547 0.9547 0.7470  1 Zn 1.98
F 0.9888 0.5454 0.2556  2 Zn 2.05-2.25

## Properties
energy above the most stable polymorph in this dataset: 53.8 meV per atom
uncorrected energy: -3.633 eV/atom
formation energy (no corrections): -2.045 eV per atom
space-group type: C2/m, No. 12
crystal system: monoclinic